Entry 1:
CaY2Be | PBE-GGA | relaxed

The structure belongs to space group R-3m (No. 166, hexagonal axes); the cell edges are 3.6947, 3.6947 and 30.4383 Å and the angles 90.00°, 90.00° and 120.00°. Symmetry generates all atoms from Ca at (0.0000, 0.0000, 0.0000), Y at (0.0000, 0.0000, 0.2263) and Be at (0.0000, 0.0000, 0.5000).

The value obtained for the magnetic moment is 0.40 μB/f.u. The calculation puts the energy of formation from the pure elements at 0.219 eV per atom. The calculation puts the energy at -53.34 eV for the cell shown.

***

Entry 2:
La3Tb6HoTh2 | PBE-GGA | relaxed

The structure belongs to space group C2/m (No. 12); the cell edges are 6.247, 10.817 and 11.897 Å and the angles 90.00°, 100.09° and 90.00°. Symmetry generates all atoms from La at (0.000, 0.000, 0.000), La at (0.000, 0.334, 0.000), Tb at (0.244, 0.000, 0.743), Tb at (0.249, 0.332, 0.743), Ho at (0.000, 0.500, 0.500) and Th at (0.000, 0.167, 0.500).

The value obtained for the magnetic moment is 0.00 μB/f.u. The calculation puts the energy of formation from the pure elements at 0.020 eV per atom. The calculation puts the energy at -123.49 eV for the cell shown.